Record 1
# Ac4Pt2Se

Crystalline Ac4Pt2Se at its relaxed geometry (PBE, Alexandria).

CIF file:
```
data_Ac4Pt2Se
_space_group_name_H-M_alt 'R -3 m'
_space_group_IT_number 166
_space_group_name_Hall '-R 3 2"'
_cell_length_a 4.3946
_cell_length_b 4.3946
_cell_length_c 44.5569
_cell_angle_alpha 90.00
_cell_angle_beta 90.00
_cell_angle_gamma 120.00
loop_
_atom_site_label
_atom_site_fract_x
_atom_site_fract_y
_atom_site_fract_z
Ac1 0.0000 0.0000 0.1236
Ac2 0.0000 0.0000 0.2862
Pt1 0.0000 0.0000 0.4207
Se1 0.0000 0.0000 0.0000
```

calculated density = 9.21 g/cm³
E_form (uncorrected) = -1.2080 eV per atom
magnetization = 0.000 μB per atom
DOS at the Fermi energy = 0.9636 states/eV per atom

Record 2
# Ac4PtSe3

Crystalline Ac4PtSe3 at its relaxed geometry (PBE, Alexandria).

CIF file:
```
data_Ac4PtSe3
_space_group_name_H-M_alt 'C m m m'
_space_group_IT_number 65
_space_group_name_Hall '-C 2 2'
_cell_length_a 9.124
_cell_length_b 12.840
_cell_length_c 4.375
_cell_angle_alpha 90.00
_cell_angle_beta 90.00
_cell_angle_gamma 90.00
loop_
_atom_site_label
_atom_site_fract_x
_atom_site_fract_y
_atom_site_fract_z
Ac1 0.000 0.248 0.000
Ac2 0.231 0.000 0.500
Pt1 0.000 0.000 0.000
Se1 0.000 0.500 0.000
Se2 0.250 0.250 0.500
```

calculated density = 8.68 g/cm³
E_form (uncorrected) = -1.6815 eV per atom
magnetization = 0.000 μB per atom
DOS at the Fermi energy = 0.7238 states/eV per atom

Record 3
# Ac5PtSe5

Crystalline Ac5PtSe5 at its relaxed geometry (PBE, Alexandria).

CIF file:
```
data_Ac5PtSe5
_space_group_name_H-M_alt 'C 1 2/m 1'
_space_group_IT_number 12
_space_group_name_Hall '-C 2y'
_cell_length_a 14.259
_cell_length_b 6.317
_cell_length_c 8.987
_cell_angle_alpha 90.00
_cell_angle_beta 107.25
_cell_angle_gamma 90.00
loop_
_atom_site_label
_atom_site_fract_x
_atom_site_fract_y
_atom_site_fract_z
Ac1 0.000 0.000 0.000
Ac2 0.148 0.500 0.835
Ac3 0.163 0.500 0.334
Pt1 0.000 0.500 0.000
Se1 0.000 0.500 0.500
Se2 0.176 0.000 0.849
Se3 0.185 0.000 0.327
```

calculated density = 7.41 g/cm³
E_form (uncorrected) = -1.7594 eV per atom
magnetization = 0.000 μB per atom
DOS at the Fermi energy = 0.6565 states/eV per atom

Record 4
# Ac2PtSe

Crystalline Ac2PtSe at its relaxed geometry (PBE, Alexandria).

CIF file:
```
data_Ac2PtSe
_space_group_name_H-M_alt 'R 3 m'
_space_group_IT_number 160
_space_group_name_Hall 'R 3 -2"'
_cell_length_a 4.3587
_cell_length_b 4.3587
_cell_length_c 23.6963
_cell_angle_alpha 90.00
_cell_angle_beta 90.00
_cell_angle_gamma 120.00
loop_
_atom_site_label
_atom_site_fract_x
_atom_site_fract_y
_atom_site_fract_z
Ac1 0.0000 0.0000 0.0000
Ac2 0.0000 0.0000 0.1853
Pt1 0.0000 0.0000 0.5933
Se1 0.0000 0.0000 0.4239
```

calculated density = 9.30 g/cm³
E_form (uncorrected) = -1.4643 eV per atom
magnetization = 0.000 μB per atom
E above lowest polymorph = 0.0559 eV per atom
DOS at the Fermi energy = 0.2031 states/eV per atom

Record 5
# Ac2PtSe

Crystalline Ac2PtSe at its relaxed geometry (PBE, Alexandria).

CIF file:
```
data_Ac2PtSe
_space_group_name_H-M_alt 'P 4/m m m'
_space_group_IT_number 123
_space_group_name_Hall '-P 4 2'
_cell_length_a 3.815
_cell_length_b 3.815
_cell_length_c 7.781
_cell_angle_alpha 90.00
_cell_angle_beta 90.00
_cell_angle_gamma 90.00
loop_
_atom_site_label
_atom_site_fract_x
_atom_site_fract_y
_atom_site_fract_z
Ac1 0.000 0.000 0.236
Pt1 0.500 0.500 0.000
Se1 0.500 0.500 0.500
```

calculated density = 10.68 g/cm³
E_form (uncorrected) = -1.2846 eV per atom
magnetization = 0.000 μB per atom
E above lowest polymorph = 0.2356 eV per atom
DOS at the Fermi energy = 0.7470 states/eV per atom

Record 6
# Ac3PtSe2

Crystalline Ac3PtSe2 at its relaxed geometry (PBE, Alexandria).

CIF file:
```
data_Ac3PtSe2
_space_group_name_H-M_alt 'I 4/m m m'
_space_group_IT_number 139
_space_group_name_Hall '-I 4 2'
_cell_length_a 4.460
_cell_length_b 4.460
_cell_length_c 19.092
_cell_angle_alpha 90.00
_cell_angle_beta 90.00
_cell_angle_gamma 90.00
loop_
_atom_site_label
_atom_site_fract_x
_atom_site_fract_y
_atom_site_fract_z
Ac1 0.000 0.000 0.000
Ac2 0.000 0.000 0.338
Pt1 0.000 0.000 0.500
Se1 0.000 0.000 0.172
```

calculated density = 9.04 g/cm³
E_form (uncorrected) = -1.6034 eV per atom
magnetization = 0.000 μB per atom
DOS at the Fermi energy = 1.0483 states/eV per atom

Record 7
# Ac2PtSe

Crystalline Ac2PtSe at its relaxed geometry (PBE, Alexandria).

CIF file:
```
data_Ac2PtSe
_space_group_name_H-M_alt 'F m -3 m'
_space_group_IT_number 225
_space_group_name_Hall '-F 4 2 3'
_cell_length_a 7.682
_cell_length_b 7.682
_cell_length_c 7.682
_cell_angle_alpha 90.00
_cell_angle_beta 90.00
_cell_angle_gamma 90.00
loop_
_atom_site_label
_atom_site_fract_x
_atom_site_fract_y
_atom_site_fract_z
Ac1 0.250 0.250 0.250
Pt1 0.000 0.000 0.000
Se1 0.000 0.000 0.500
```

calculated density = 10.67 g/cm³
E_form (uncorrected) = -1.1350 eV per atom
magnetization = 0.288 μB per atom
E above lowest polymorph = 0.3852 eV per atom
DOS at the Fermi energy = 1.1953 states/eV per atom

Record 8
# Ac6Te3PtSe2

Crystalline Ac6Te3PtSe2 at its relaxed geometry (PBE, Alexandria).

CIF file:
```
data_Ac6Te3PtSe2
_space_group_name_H-M_alt 'C 1 2/m 1'
_space_group_IT_number 12
_space_group_name_Hall '-C 2y'
_cell_length_a 7.966
_cell_length_b 13.755
_cell_length_c 8.110
_cell_angle_alpha 90.00
_cell_angle_beta 109.23
_cell_angle_gamma 90.00
loop_
_atom_site_label
_atom_site_fract_x
_atom_site_fract_y
_atom_site_fract_z
Ac1 0.234 0.160 0.224
Ac2 0.246 0.000 0.771
Te1 0.000 0.174 0.500
Te2 0.000 0.500 0.500
Pt1 0.000 0.000 0.000
Se1 0.000 0.335 0.000
```

calculated density = 8.30 g/cm³
E_form (uncorrected) = -1.5781 eV per atom
magnetization = 0.000 μB per atom
DOS at the Fermi energy = 0.5844 states/eV per atom

Record 9
# Ac6TePt2Se3

Crystalline Ac6TePt2Se3 at its relaxed geometry (PBE, Alexandria).

CIF file:
```
data_Ac6TePt2Se3
_space_group_name_H-M_alt 'C 1 2/m 1'
_space_group_IT_number 12
_space_group_name_Hall '-C 2y'
_cell_length_a 7.794
_cell_length_b 13.472
_cell_length_c 8.033
_cell_angle_alpha 90.00
_cell_angle_beta 109.03
_cell_angle_gamma 90.00
loop_
_atom_site_label
_atom_site_fract_x
_atom_site_fract_y
_atom_site_fract_z
Ac1 0.222 0.000 0.239
Ac2 0.240 0.179 0.760
Te1 0.000 0.500 0.000
Pt1 0.000 0.168 0.000
Se1 0.000 0.000 0.500
Se2 0.000 0.344 0.500
```

calculated density = 8.82 g/cm³
E_form (uncorrected) = -1.5528 eV per atom
magnetization = 0.000 μB per atom
DOS at the Fermi energy = 0.6869 states/eV per atom

Record 10
# Ac8TePt3Se4

Crystalline Ac8TePt3Se4 at its relaxed geometry (PBE, Alexandria).

CIF file:
```
data_Ac8TePt3Se4
_space_group_name_H-M_alt 'R -3 m'
_space_group_IT_number 166
_space_group_name_Hall '-R 3 2"'
_cell_length_a 8.9107
_cell_length_b 8.9107
_cell_length_c 22.9971
_cell_angle_alpha 90.00
_cell_angle_beta 90.00
_cell_angle_gamma 120.00
loop_
_atom_site_label
_atom_site_fract_x
_atom_site_fract_y
_atom_site_fract_z
Ac1 0.0000 0.0000 0.2411
Ac2 0.0161 0.5080 0.7529
Te1 0.0000 0.0000 0.5000
Pt1 0.0000 0.5000 0.5000
Se1 0.0000 0.0000 0.0000
Se2 0.0000 0.5000 0.0000
```

calculated density = 8.96 g/cm³
E_form (uncorrected) = -1.5148 eV per atom
magnetization = 0.000 μB per atom
DOS at the Fermi energy = 0.9270 states/eV per atom

Record 11
# Ac8Te4PtSe3

Crystalline Ac8Te4PtSe3 at its relaxed geometry (PBE, Alexandria).

CIF file:
```
data_Ac8Te4PtSe3
_space_group_name_H-M_alt 'C 1 2/m 1'
_space_group_IT_number 12
_space_group_name_Hall '-C 2y'
_cell_length_a 15.881
_cell_length_b 9.168
_cell_length_c 9.326
_cell_angle_alpha 90.00
_cell_angle_beta 124.58
_cell_angle_gamma 90.00
loop_
_atom_site_label
_atom_site_fract_x
_atom_site_fract_y
_atom_site_fract_z
Ac1 0.006 0.240 0.277
Ac2 0.236 0.000 0.724
Ac3 0.243 0.500 0.729
Te1 0.000 0.000 0.000
Te2 0.000 0.500 0.000
Te3 0.250 0.250 0.000
Pt1 0.000 0.000 0.500
Se1 0.000 0.500 0.500
Se2 0.250 0.250 0.500
```

calculated density = 8.19 g/cm³
E_form (uncorrected) = -1.6154 eV per atom
magnetization = 0.000 μB per atom
DOS at the Fermi energy = 0.4167 states/eV per atom

Record 12
# Ac6Te3Pt2Se

Crystalline Ac6Te3Pt2Se at its relaxed geometry (PBE, Alexandria).

CIF file:
```
data_Ac6Te3Pt2Se
_space_group_name_H-M_alt 'C 1 2/m 1'
_space_group_IT_number 12
_space_group_name_Hall '-C 2y'
_cell_length_a 7.835
_cell_length_b 13.558
_cell_length_c 8.361
_cell_angle_alpha 90.00
_cell_angle_beta 108.07
_cell_angle_gamma 90.00
loop_
_atom_site_label
_atom_site_fract_x
_atom_site_fract_y
_atom_site_fract_z
Ac1 0.224 0.000 0.218
Ac2 0.248 0.326 0.219
Te1 0.000 0.000 0.500
Te2 0.000 0.340 0.500
Pt1 0.000 0.168 0.000
Se1 0.000 0.500 0.000
```

calculated density = 8.71 g/cm³
E_form (uncorrected) = -1.4654 eV per atom
magnetization = 0.000 μB per atom
DOS at the Fermi energy = 0.5244 states/eV per atom

Record 13
# Ac4Te2PtSe

Crystalline Ac4Te2PtSe at its relaxed geometry (PBE, Alexandria).

CIF file:
```
data_Ac4Te2PtSe
_space_group_name_H-M_alt 'P 1 2/m 1'
_space_group_IT_number 10
_space_group_name_Hall '-P 2y'
_cell_length_a 8.063
_cell_length_b 4.463
_cell_length_c 8.233
_cell_angle_alpha 90.00
_cell_angle_beta 108.66
_cell_angle_gamma 90.00
loop_
_atom_site_label
_atom_site_fract_x
_atom_site_fract_y
_atom_site_fract_z
Ac1 0.222 0.000 0.213
Ac2 0.254 0.500 0.770
Te1 0.000 0.000 0.500
Te2 0.500 0.500 0.500
Pt1 0.000 0.500 0.000
Se1 0.500 0.000 0.000
```

calculated density = 8.50 g/cm³
E_form (uncorrected) = -1.5123 eV per atom
magnetization = 0.000 μB per atom
DOS at the Fermi energy = 0.6833 states/eV per atom

Record 14
# AcThPtSe

Crystalline AcThPtSe at its relaxed geometry (PBE, Alexandria).

CIF file:
```
data_AcThPtSe
_space_group_name_H-M_alt 'R 3 m'
_space_group_IT_number 160
_space_group_name_Hall 'R 3 -2"'
_cell_length_a 4.2195
_cell_length_b 4.2195
_cell_length_c 23.2945
_cell_angle_alpha 90.00
_cell_angle_beta 90.00
_cell_angle_gamma 120.00
loop_
_atom_site_label
_atom_site_fract_x
_atom_site_fract_y
_atom_site_fract_z
Ac1 0.0000 0.0000 0.0000
Th1 0.0000 0.0000 0.1834
Pt1 0.0000 0.0000 0.5834
Se1 0.0000 0.0000 0.7648
```

calculated density = 10.17 g/cm³
E_form (uncorrected) = -1.3793 eV per atom
magnetization = 0.000 μB per atom
DOS at the Fermi energy = 1.0107 states/eV per atom

Record 15
# AcSi2Pt4

Crystalline AcSi2Pt4 at its relaxed geometry (PBE, Alexandria).

CIF file:
```
data_AcSi2Pt4
_space_group_name_H-M_alt 'C m m m'
_space_group_IT_number 65
_space_group_name_Hall '-C 2 2'
_cell_length_a 4.353
_cell_length_b 13.618
_cell_length_c 4.370
_cell_angle_alpha 90.00
_cell_angle_beta 90.00
_cell_angle_gamma 90.00
loop_
_atom_site_label
_atom_site_fract_x
_atom_site_fract_y
_atom_site_fract_z
Ac1 0.000 0.000 0.000
Si1 0.000 0.401 0.500
Pt1 0.000 0.178 0.500
Pt2 0.000 0.325 0.000
```

calculated density = 13.63 g/cm³
E_form (uncorrected) = -0.8058 eV per atom
magnetization = 0.000 μB per atom
E above lowest polymorph = 0.0437 eV per atom
DOS at the Fermi energy = 0.7766 states/eV per atom

Record 16
# AcSi2Pt4

Crystalline AcSi2Pt4 at its relaxed geometry (PBE, Alexandria).

CIF file:
```
data_AcSi2Pt4
_space_group_name_H-M_alt 'P n m a'
_space_group_IT_number 62
_space_group_name_Hall '-P 2ac 2n'
_cell_length_a 18.618
_cell_length_b 4.090
_cell_length_c 6.944
_cell_angle_alpha 90.00
_cell_angle_beta 90.00
_cell_angle_gamma 90.00
loop_
_atom_site_label
_atom_site_fract_x
_atom_site_fract_y
_atom_site_fract_z
Ac1 0.139 0.250 0.045
Si1 0.035 0.750 0.731
Si2 0.199 0.250 0.478
Pt1 0.011 0.750 0.131
Pt2 0.061 0.250 0.510
Pt3 0.160 0.750 0.653
Pt4 0.235 0.750 0.285
```

calculated density = 13.36 g/cm³
E_form (uncorrected) = -0.8496 eV per atom
magnetization = 0.000 μB per atom
E above lowest polymorph = 0.0000 eV per atom
DOS at the Fermi energy = 0.5166 states/eV per atom

Record 17
# AcSi3Pt6

Crystalline AcSi3Pt6 at its relaxed geometry (PBE, Alexandria).

CIF file:
```
data_AcSi3Pt6
_space_group_name_H-M_alt 'R 3'
_space_group_IT_number 146
_space_group_name_Hall 'R 3'
_cell_length_a 6.4028
_cell_length_b 6.4028
_cell_length_c 15.7751
_cell_angle_alpha 90.00
_cell_angle_beta 90.00
_cell_angle_gamma 120.00
loop_
_atom_site_label
_atom_site_fract_x
_atom_site_fract_y
_atom_site_fract_z
Ac1 0.0000 0.0000 0.0000
Si1 0.0000 0.0000 0.2296
Si2 0.0000 0.0000 0.6116
Si3 0.0000 0.0000 0.7838
Pt1 0.0369 0.4906 0.0185
Pt2 0.0504 0.3768 0.1792
```

calculated density = 13.18 g/cm³
E_form (uncorrected) = -0.8020 eV per atom
magnetization = 0.000 μB per atom
DOS at the Fermi energy = 0.3280 states/eV per atom

Record 18
# AcSi3Pt

Crystalline AcSi3Pt at its relaxed geometry (PBE, Alexandria).

CIF file:
```
data_AcSi3Pt
_space_group_name_H-M_alt 'I 4 m m'
_space_group_IT_number 107
_space_group_name_Hall 'I 4 -2'
_cell_length_a 4.458
_cell_length_b 4.458
_cell_length_c 9.734
_cell_angle_alpha 90.00
_cell_angle_beta 90.00
_cell_angle_gamma 90.00
loop_
_atom_site_label
_atom_site_fract_x
_atom_site_fract_y
_atom_site_fract_z
Ac1 0.000 0.000 0.000
Si1 0.000 0.000 0.612
Si2 0.000 0.500 0.242
Pt1 0.000 0.000 0.353
```

calculated density = 8.69 g/cm³
E_form (uncorrected) = -0.8037 eV per atom
magnetization = 0.000 μB per atom
DOS at the Fermi energy = 0.3870 states/eV per atom

Record 19
# AcSiPt3

Crystalline AcSiPt3 at its relaxed geometry (PBE, Alexandria).

CIF file:
```
data_AcSiPt3
_space_group_name_H-M_alt 'P m -3 m'
_space_group_IT_number 221
_space_group_name_Hall '-P 4 2 3'
_cell_length_a 4.733
_cell_length_b 4.733
_cell_length_c 4.733
_cell_angle_alpha 90.00
_cell_angle_beta 90.00
_cell_angle_gamma 90.00
loop_
_atom_site_label
_atom_site_fract_x
_atom_site_fract_y
_atom_site_fract_z
Ac1 0.000 0.000 0.000
Si1 0.500 0.500 0.500
Pt1 0.000 0.500 0.500
```

calculated density = 13.17 g/cm³
E_form (uncorrected) = -0.7955 eV per atom
magnetization = 0.000 μB per atom
E above lowest polymorph = 0.2510 eV per atom
DOS at the Fermi energy = 0.5253 states/eV per atom

Record 20
# AcSi4Pt12

Crystalline AcSi4Pt12 at its relaxed geometry (PBE, Alexandria).

CIF file:
```
data_AcSi4Pt12
_space_group_name_H-M_alt 'I m -3'
_space_group_IT_number 204
_space_group_name_Hall '-I 2 2 3'
_cell_length_a 8.477
_cell_length_b 8.477
_cell_length_c 8.477
_cell_angle_alpha 90.00
_cell_angle_beta 90.00
_cell_angle_gamma 90.00
loop_
_atom_site_label
_atom_site_fract_x
_atom_site_fract_y
_atom_site_fract_z
Ac1 0.000 0.000 0.000
Si1 0.250 0.250 0.250
Pt1 0.000 0.343 0.165
```

calculated density = 14.61 g/cm³
E_form (uncorrected) = -0.4603 eV per atom
magnetization = 0.000 μB per atom
DOS at the Fermi energy = 0.2592 states/eV per atom